<i>
Compound: MgTiNb2Pb4O12
Source: Alexandria via LeMat-Bulk
Functional: PBEsol
Structure: optimized geometry

Results
Theoretical density ... 8.1 g/cm³
Crystal system ... orthorhombic
Calculated volume ... 263.0 Å³ per cell
Space group ... Pmm2, No. 25

```
data_MgTiNb2Pb4O12
_chemical_formula_sum 'Mg1 Ti1 Nb2 Pb4 O12'
_symmetry_space_group_name_H-M 'P 1'
_symmetry_Int_Tables_number 1
_symmetry_space_group_name_Hall 'P 1'
_cell_length_a 5.7001
_cell_length_b 7.9541
_cell_length_c 5.8005
_cell_angle_alpha 90.00
_cell_angle_beta 90.00
_cell_angle_gamma 90.00
loop_
_atom_site_label
_atom_site_fract_x
_atom_site_fract_y
_atom_site_fract_z
_atom_site_occupancy
Mg1 0.0000 0.0000 0.0000 1
Ti1 0.5000 0.5000 0.4776 1
Nb1 0.0000 0.5000 0.9773 1
Nb2 0.5000 0.0000 0.5007 1
Pb1 0.0000 0.2451 0.4502 1
Pb2 0.0000 0.7549 0.4502 1
Pb3 0.5000 0.2304 0.9547 1
Pb4 0.5000 0.7696 0.9547 1
O1 0.0000 0.2585 0.0456 1
O2 0.0000 0.7415 0.0456 1
O3 0.2452 0.0000 0.2799 1
O4 0.2484 0.5000 0.2811 1
O5 0.2566 0.5000 0.7693 1
O6 0.2690 0.0000 0.7733 1
O7 0.5000 0.2549 0.5280 1
O8 0.5000 0.7451 0.5280 1
O9 0.7310 0.0000 0.7733 1
O10 0.7434 0.5000 0.7693 1
O11 0.7516 0.5000 0.2811 1
O12 0.7548 0.0000 0.2799 1
```

<ii>
Compound: MgTiNb2Pb4O12
Source: Alexandria via LeMat-Bulk
Functional: PBEsol
Structure: optimized geometry

Results
Theoretical density ... 8.1 g/cm³
Crystal system ... triclinic
Calculated volume ... 525.8 Å³ per cell
Space group ... P1, No. 1

```
data_MgTiNb2Pb4O12
_chemical_formula_sum 'Mg2 Ti2 Nb4 Pb8 O24'
_symmetry_space_group_name_H-M 'P 1'
_symmetry_Int_Tables_number 1
_symmetry_space_group_name_Hall 'P 1'
_cell_length_a 8.1148
_cell_length_b 8.1384
_cell_length_c 9.8015
_cell_angle_alpha 114.14
_cell_angle_beta 114.33
_cell_angle_gamma 90.54
loop_
_atom_site_label
_atom_site_fract_x
_atom_site_fract_y
_atom_site_fract_z
_atom_site_occupancy
Mg1 0.0000 0.0000 0.0000 1
Mg2 0.2480 0.7485 0.4992 1
Ti1 0.4899 0.5103 0.0006 1
Ti2 0.7383 0.2584 0.4996 1
Nb1 0.2387 0.2485 0.5023 1
Nb2 0.4987 0.0085 0.9982 1
Nb3 0.7526 0.7611 0.4976 1
Nb4 0.9878 0.4956 0.0009 1
Pb1 0.1071 0.1496 0.7703 1
Pb2 0.1114 0.6562 0.7629 1
Pb3 0.3426 0.8911 0.2533 1
Pb4 0.3580 0.4020 0.2641 1
Pb5 0.5934 0.1344 0.7392 1
Pb6 0.6105 0.6562 0.7504 1
Pb7 0.8561 0.8981 0.2339 1
Pb8 0.8653 0.4059 0.2687 1
O1 0.0103 0.2330 0.5112 1
O2 0.0106 0.7230 0.9812 1
O3 0.0265 0.2511 0.9990 1
O4 0.1292 0.0938 0.2557 1
O5 0.1534 0.6183 0.2407 1
O6 0.2475 0.4742 0.4810 1
O7 0.2505 0.4752 0.9715 1
O8 0.2656 0.9809 0.0048 1
O9 0.2927 0.0063 0.5134 1
O10 0.3844 0.8461 0.7549 1
O11 0.4098 0.3717 0.7529 1
O12 0.5020 0.2335 0.9823 1
O13 0.5069 0.2417 0.4869 1
O14 0.5149 0.7398 0.0141 1
O15 0.5166 0.7178 0.5030 1
O16 0.6155 0.5848 0.2398 1
O17 0.6532 0.1185 0.2527 1
O18 0.7412 0.9864 0.4851 1
O19 0.7454 0.9646 0.9940 1
O20 0.7605 0.4944 0.0130 1
O21 0.7718 0.4829 0.5001 1
O22 0.8732 0.3435 0.7404 1
O23 0.8921 0.8605 0.7404 1
O24 0.9831 0.7202 0.4736 1
```

What should be chosen as the most stable of them? Choose <ii>.

<i>
Compound: Nd2MgSe4
Source: Alexandria via LeMat-Bulk
Functional: PBEsol
Structure: optimized geometry

Results
Theoretical density ... 5.0 g/cm³
Crystal system ... orthorhombic
Calculated volume ... 832.0 Å³ per cell
Space group ... Pnma, No. 62

```
data_Nd2MgSe4
_chemical_formula_sum 'Nd8 Mg4 Se16'
_symmetry_space_group_name_H-M 'P 1'
_symmetry_Int_Tables_number 1
_symmetry_space_group_name_Hall 'P 1'
_cell_length_a 14.2655
_cell_length_b 8.4462
_cell_length_c 6.9054
_cell_angle_alpha 90.00
_cell_angle_beta 90.00
_cell_angle_gamma 90.00
loop_
_atom_site_label
_atom_site_fract_x
_atom_site_fract_y
_atom_site_fract_z
_atom_site_occupancy
Nd1 0.0000 0.0000 0.0000 1
Nd2 0.0000 0.5000 0.0000 1
Nd3 0.2309 0.2500 0.4862 1
Nd4 0.2691 0.7500 0.9862 1
Nd5 0.5000 0.0000 0.5000 1
Nd6 0.5000 0.5000 0.5000 1
Nd7 0.7309 0.2500 0.0138 1
Nd8 0.7691 0.7500 0.5138 1
Mg1 0.0962 0.7500 0.4105 1
Mg2 0.4038 0.2500 0.9105 1
Mg3 0.5962 0.7500 0.0895 1
Mg4 0.9038 0.2500 0.5895 1
Se1 0.0698 0.2500 0.7450 1
Se2 0.0893 0.7500 0.7762 1
Se3 0.1728 0.5130 0.2339 1
Se4 0.1728 0.9870 0.2339 1
Se5 0.3272 0.0130 0.7339 1
Se6 0.3272 0.4870 0.7339 1
Se7 0.4107 0.2500 0.2762 1
Se8 0.4302 0.7500 0.2450 1
Se9 0.5698 0.2500 0.7550 1
Se10 0.5893 0.7500 0.7238 1
Se11 0.6728 0.5130 0.2661 1
Se12 0.6728 0.9870 0.2661 1
Se13 0.8272 0.0130 0.7661 1
Se14 0.8272 0.4870 0.7661 1
Se15 0.9107 0.2500 0.2238 1
Se16 0.9302 0.7500 0.2550 1
```

<ii>
Compound: Nd2MgSe4
Source: Alexandria via LeMat-Bulk
Functional: PBEsol
Structure: optimized geometry

Results
Theoretical density ... 6.3 g/cm³
Crystal system ... tetragonal
Calculated volume ... 331.1 Å³ per cell
Space group ... I-42d, No. 122

```
data_Nd2MgSe4
_chemical_formula_sum 'Nd4 Mg2 Se8'
_symmetry_space_group_name_H-M 'P 1'
_symmetry_Int_Tables_number 1
_symmetry_space_group_name_Hall 'P 1'
_cell_length_a 7.5530
_cell_length_b 7.5530
_cell_length_c 7.5530
_cell_angle_alpha 110.88
_cell_angle_beta 110.88
_cell_angle_gamma 106.68
loop_
_atom_site_label
_atom_site_fract_x
_atom_site_fract_y
_atom_site_fract_z
_atom_site_occupancy
Nd1 0.3750 0.0015 0.1265 1
Nd2 0.7515 0.6250 0.6265 1
Nd3 0.8750 0.2485 0.8735 1
Nd4 0.9985 0.1250 0.3735 1
Mg1 0.2500 0.7500 0.5000 1
Mg2 0.5000 0.5000 0.0000 1
Se1 0.1263 0.0053 0.7366 1
Se2 0.1398 0.5187 0.7634 1
Se3 0.2687 0.3898 0.2634 1
Se4 0.4813 0.2447 0.6210 1
Se5 0.6102 0.8737 0.8790 1
Se6 0.6237 0.8602 0.3790 1
Se7 0.7553 0.3763 0.2366 1
Se8 0.9947 0.7313 0.1210 1
```

<iii>
Compound: Nd2MgSe4
Source: Alexandria via LeMat-Bulk
Functional: PBEsol
Structure: optimized geometry

Results
Theoretical density ... 5.0 g/cm³
Crystal system ... cubic
Calculated volume ... 414.4 Å³ per cell
Space group ... Fd-3m, No. 227

```
data_Nd2MgSe4
_chemical_formula_sum 'Nd4 Mg2 Se8'
_symmetry_space_group_name_H-M 'P 1'
_symmetry_Int_Tables_number 1
_symmetry_space_group_name_Hall 'P 1'
_cell_length_a 8.3683
_cell_length_b 8.3683
_cell_length_c 8.3683
_cell_angle_alpha 60.00
_cell_angle_beta 60.00
_cell_angle_gamma 60.00
loop_
_atom_site_label
_atom_site_fract_x
_atom_site_fract_y
_atom_site_fract_z
_atom_site_occupancy
Nd1 0.0000 0.0000 0.0000 1
Nd2 0.0000 0.0000 0.5000 1
Nd3 0.0000 0.5000 0.0000 1
Nd4 0.5000 0.0000 0.0000 1
Mg1 0.3750 0.3750 0.3750 1
Mg2 0.6250 0.6250 0.6250 1
Se1 0.2422 0.7526 0.7526 1
Se2 0.2474 0.2474 0.2474 1
Se3 0.2474 0.2474 0.7578 1
Se4 0.2474 0.7578 0.2474 1
Se5 0.7526 0.2422 0.7526 1
Se6 0.7526 0.7526 0.2422 1
Se7 0.7526 0.7526 0.7526 1
Se8 0.7578 0.2474 0.2474 1
```

What should be chosen as the most stable of them? Choose <ii>.

<i>
Compound: MgNiTe2
Source: Alexandria via LeMat-Bulk
Functional: PBEsol
Structure: optimized geometry

Results
Theoretical density ... 6.8 g/cm³
Crystal system ... tetragonal
Calculated volume ... 82.0 Å³ per cell
Space group ... I4/mmm, No. 139

```
data_MgNiTe2
_chemical_formula_sum 'Mg1 Ni1 Te2'
_symmetry_space_group_name_H-M 'P 1'
_symmetry_Int_Tables_number 1
_symmetry_space_group_name_Hall 'P 1'
_cell_length_a 4.8921
_cell_length_b 4.8921
_cell_length_c 4.8921
_cell_angle_alpha 120.62
_cell_angle_beta 120.62
_cell_angle_gamma 88.94
loop_
_atom_site_label
_atom_site_fract_x
_atom_site_fract_y
_atom_site_fract_z
_atom_site_occupancy
Mg1 0.0000 0.0000 0.0000 1
Ni1 0.5000 0.5000 0.0000 1
Te1 0.2500 0.7500 0.5000 1
Te2 0.7500 0.2500 0.5000 1
```

<ii>
Compound: MgNiTe2
Source: Alexandria via LeMat-Bulk
Functional: PBEsol
Structure: optimized geometry

Results
Theoretical density ... 6.3 g/cm³
Crystal system ... tetragonal
Calculated volume ... 89.3 Å³ per cell
Space group ... P4mm, No. 99

```
data_MgNiTe2
_chemical_formula_sum 'Mg1 Ni1 Te2'
_symmetry_space_group_name_H-M 'P 1'
_symmetry_Int_Tables_number 1
_symmetry_space_group_name_Hall 'P 1'
_cell_length_a 3.5895
_cell_length_b 3.5895
_cell_length_c 6.9280
_cell_angle_alpha 90.00
_cell_angle_beta 90.00
_cell_angle_gamma 90.00
loop_
_atom_site_label
_atom_site_fract_x
_atom_site_fract_y
_atom_site_fract_z
_atom_site_occupancy
Mg1 0.0000 0.0000 0.0000 1
Ni1 0.5000 0.5000 0.2293 1
Te1 0.0000 0.0000 0.3878 1
Te2 0.5000 0.5000 0.8337 1
```

<iii>
Compound: MgNiTe2
Source: Alexandria via LeMat-Bulk
Functional: PBEsol
Structure: optimized geometry

Results
Theoretical density ... 6.5 g/cm³
Crystal system ... orthorhombic
Calculated volume ... 86.4 Å³ per cell
Space group ... Imm2, No. 44

```
data_MgNiTe2
_chemical_formula_sum 'Mg1 Ni1 Te2'
_symmetry_space_group_name_H-M 'P 1'
_symmetry_Int_Tables_number 1
_symmetry_space_group_name_Hall 'P 1'
_cell_length_a 6.8680
_cell_length_b 6.8680
_cell_length_c 6.8680
_cell_angle_alpha 150.35
_cell_angle_beta 147.25
_cell_angle_gamma 44.75
loop_
_atom_site_label
_atom_site_fract_x
_atom_site_fract_y
_atom_site_fract_z
_atom_site_occupancy
Mg1 0.0000 0.0000 0.0000 1
Ni1 0.7650 0.2650 0.5000 1
Te1 0.3278 0.8278 0.5000 1
Te2 0.6100 0.6100 0.0000 1
```

<iv>
Compound: MgNiTe2
Source: Alexandria via LeMat-Bulk
Functional: PBEsol
Structure: optimized geometry

Results
Theoretical density ... 6.5 g/cm³
Crystal system ... trigonal
Calculated volume ... 86.3 Å³ per cell
Space group ... R-3m, No. 166

```
data_MgNiTe2
_chemical_formula_sum 'Mg1 Ni1 Te2'
_symmetry_space_group_name_H-M 'P 1'
_symmetry_Int_Tables_number 1
_symmetry_space_group_name_Hall 'P 1'
_cell_length_a 7.0520
_cell_length_b 7.0520
_cell_length_c 7.0520
_cell_angle_alpha 31.76
_cell_angle_beta 31.76
_cell_angle_gamma 31.76
loop_
_atom_site_label
_atom_site_fract_x
_atom_site_fract_y
_atom_site_fract_z
_atom_site_occupancy
Mg1 0.0000 0.0000 0.0000 1
Ni1 0.5000 0.5000 0.5000 1
Te1 0.2357 0.2357 0.2357 1
Te2 0.7643 0.7643 0.7643 1
```

What should be chosen as the most stable of them? Choose <iv>.

<i>
Compound: Mg2TlNi2
Source: Alexandria via LeMat-Bulk
Functional: PBEsol
Structure: optimized geometry

Results
Theoretical density ... 7.2 g/cm³
Crystal system ... tetragonal
Calculated volume ... 85.7 Å³ per cell
Space group ... I4/mmm, No. 139

```
data_Mg2TlNi2
_chemical_formula_sum 'Mg2 Tl1 Ni2'
_symmetry_space_group_name_H-M 'P 1'
_symmetry_Int_Tables_number 1
_symmetry_space_group_name_Hall 'P 1'
_cell_length_a 6.2515
_cell_length_b 6.2515
_cell_length_c 6.2515
_cell_angle_alpha 143.57
_cell_angle_beta 143.57
_cell_angle_gamma 52.47
loop_
_atom_site_label
_atom_site_fract_x
_atom_site_fract_y
_atom_site_fract_z
_atom_site_occupancy
Mg1 0.2500 0.7500 0.5000 1
Mg2 0.7500 0.2500 0.5000 1
Tl1 0.0000 0.0000 0.0000 1
Ni1 0.4003 0.4003 0.0000 1
Ni2 0.5997 0.5997 0.0000 1
```

<ii>
Compound: Mg2TlNi2
Source: Alexandria via LeMat-Bulk
Functional: PBEsol
Structure: optimized geometry

Results
Theoretical density ... 7.6 g/cm³
Crystal system ... tetragonal
Calculated volume ... 162.9 Å³ per cell
Space group ... P4/mbm, No. 127

```
data_Mg2TlNi2
_chemical_formula_sum 'Mg4 Tl2 Ni4'
_symmetry_space_group_name_H-M 'P 1'
_symmetry_Int_Tables_number 1
_symmetry_space_group_name_Hall 'P 1'
_cell_length_a 6.6662
_cell_length_b 6.6662
_cell_length_c 3.6660
_cell_angle_alpha 90.00
_cell_angle_beta 90.00
_cell_angle_gamma 90.00
loop_
_atom_site_label
_atom_site_fract_x
_atom_site_fract_y
_atom_site_fract_z
_atom_site_occupancy
Mg1 0.1616 0.3384 0.0000 1
Mg2 0.3384 0.8384 0.0000 1
Mg3 0.6616 0.1616 0.0000 1
Mg4 0.8384 0.6616 0.0000 1
Tl1 0.0000 0.0000 0.5000 1
Tl2 0.5000 0.5000 0.5000 1
Ni1 0.1279 0.6279 0.5000 1
Ni2 0.3721 0.1279 0.5000 1
Ni3 0.6279 0.8721 0.5000 1
Ni4 0.8721 0.3721 0.5000 1
```

What should be chosen as the most stable of them? Choose <ii>.